1.
Material: Dy6BSe5
Method: DFT, PBE
State: relaxed

Output
As for the calculated density: 8144 kg/m³. The calculation puts the density of states at the Fermi level at 5.32 states/eV/cell. Its electronic total energy is -5.909 eV/atom.

Cell and atoms, written as POSCAR:
```
Dy6BSe5
1.0
-0.949 -6.770 1.522
6.818 3.188 -3.007
-0.911 2.772 6.370
Dy B Se
6 1 5
direct
0.153 0.925 0.302
0.847 0.075 0.698
0.545 0.777 0.000
0.455 0.223 0.000
0.850 0.622 0.698
0.150 0.378 0.302
0.000 0.000 0.000
0.666 0.666 0.331
0.326 0.826 0.651
0.674 0.174 0.349
0.000 0.500 0.000
0.334 0.334 0.669
```

***

2.
Material: Dy3BSe2
Method: DFT, PBE
State: relaxed

Output
As for the calculated density: 8015 kg/m³. The calculation puts the density of states at the Fermi level at 10.79 states/eV/cell. Its electronic total energy is -5.899 eV/atom.

Cell and atoms, written as POSCAR:
```
Dy3BSe2
1.0
-0.041 -6.580 2.255
6.458 1.679 -1.965
-0.832 6.212 10.878
Se Dy B
8 12 4
direct
0.670 0.170 0.341
0.996 0.496 0.993
0.504 0.004 0.007
0.830 0.330 0.659
0.254 0.254 0.507
0.420 0.420 0.841
0.746 0.746 0.493
0.580 0.580 0.159
0.309 0.840 0.179
0.941 0.910 0.321
0.160 0.691 0.821
0.661 0.130 0.821
0.380 0.411 0.321
0.090 0.059 0.679
0.589 0.620 0.679
0.870 0.339 0.179
0.216 0.216 0.000
0.034 0.534 0.500
0.784 0.784 0.000
0.466 0.966 0.500
0.084 0.084 0.168
0.166 0.666 0.332
0.334 0.834 0.668
0.916 0.916 0.832
```